(1)
ThNbCo2H6 | PBE | optimized geometry

```
ThNbCo2H6
1.0
4.445 0.000 0.000
2.223 3.850 0.000
2.223 1.283 5.179
H Co Nb Th
6 2 1 1
Cartesian
4.445 1.325 4.137
3.370 1.946 1.042
5.520 3.187 4.137
4.445 3.807 1.042
3.370 3.187 4.137
5.520 1.946 1.042
2.223 1.283 2.002
6.668 3.850 3.177
4.445 2.566 2.589
0.000 0.000 0.000
```

raw total energy = -55.30 eV per cell

=====

(2)
TiNbCo2H | PBE | optimized geometry

```
TiNbCo2H
1.0
3.804 0.000 0.000
0.000 3.804 0.000
0.000 0.000 3.866
Co H Nb Ti
2 1 1 1
Cartesian
0.000 1.902 0.000
1.902 0.000 0.000
0.000 0.000 0.000
1.902 1.902 1.933
0.000 0.000 1.933
```

raw total energy = -36.20 eV per cell

=====

(3)
NbV2CoH | PBE | optimized geometry

```
NbV2CoH
1.0
3.687 0.000 0.000
0.000 3.687 0.000
0.000 0.000 4.288
V Nb H Co
2 1 1 1
Cartesian
1.843 0.000 0.000
0.000 1.843 0.000
0.000 0.000 2.144
0.000 0.000 0.000
1.843 1.843 2.144
```

energy above the most stable polymorph in this dataset = 0.059 eV per atom

=====

(4)
NbV2CoH | PBE | optimized geometry

```
NbV2CoH
1.0
-0.264 0.338 -4.122
4.109 -0.446 -0.300
-0.377 -3.308 -0.247
V Nb H Co
2 1 1 1
Cartesian
2.054 -0.223 -0.150
-0.132 0.169 -2.061
1.734 -1.709 -2.334
0.000 0.000 0.000
-0.189 -1.654 -0.123
```

energy above the most stable polymorph in this dataset = 0.000 eV per atom

=====

(5)
Zr2NbCoH | PBE | optimized geometry

```
Zr2NbCoH
1.0
4.654 0.000 0.000
0.000 4.654 0.000
0.000 0.000 3.454
Nb H Co Zr
1 1 1 2
Cartesian
2.327 2.327 1.727
0.000 0.000 0.000
0.000 0.000 1.727
2.327 0.000 0.000
0.000 2.327 0.000
```

raw total energy = -38.30 eV per cell

=====

(6)
Nd12Co3H5 | PBE | optimized geometry

```
Nd12Co3H5
1.0
13.358 0.000 0.000
-4.453 12.594 0.000
-4.453 -6.297 10.907
Co Nd H
12 48 20
Cartesian
10.019 0.000 2.727
7.792 8.659 1.363
1.113 6.297 2.727
-1.113 5.510 6.817
-5.566 6.297 8.180
3.340 7.084 6.817
7.792 3.936 1.363
-3.340 2.361 9.544
1.113 -0.787 4.090
5.566 0.787 4.090
3.340 0.000 8.180
-3.340 -2.361 9.544
-4.435 9.077 4.128
7.810 -4.305 9.582
-1.718 -0.589 5.110
-2.735 7.280 8.519
6.662 3.518 4.128
6.109 6.344 2.045
3.945 -1.572 3.408
6.171 6.886 5.797
-1.130 -3.300 7.842
7.187 -0.983 2.388
5.583 9.597 3.065
6.662 11.262 0.343
-0.570 8.045 1.063
4.961 5.314 8.519
4.470 2.185 6.436
2.797 8.092 0.982
-0.018 4.112 4.471
-3.945 5.708 5.797
-4.470 4.965 10.564
5.549 -1.004 6.516
2.244 8.482 4.471
-2.209 -4.965 10.564
-3.357 10.602 1.325
-5.549 3.300 7.842
-2.209 2.779 6.779
2.209 -2.185 6.436
-1.130 4.305 9.582
5.023 -1.748 9.844
0.508 7.869 7.499
-0.570 4.503 0.982
-1.656 -0.047 8.862
-5.023 0.047 8.862
2.735 1.572 3.408
-1.096 7.302 4.391
-0.508 0.983 2.388
2.797 4.549 1.063
1.656 1.748 9.844
5.583 1.993 1.325
10.002 2.997 3.065
8.888 -2.779 6.779
3.322 5.293 4.391
9.476 6.251 2.045
8.923 1.332 0.343
1.130 1.004 6.516
8.397 0.589 5.110
1.718 4.726 7.499
1.656 -1.795 9.925
5.023 1.795 9.925
-2.226 -3.149 5.453
7.792 -0.787 6.817
-2.226 6.297 0.000
-3.340 7.084 4.090
3.340 9.446 2.727
2.226 3.149 5.453
3.340 2.361 1.363
-1.113 0.787 6.817
5.566 3.149 8.180
-4.453 3.149 5.453
5.566 -3.936 9.544
-1.113 3.149 2.727
1.113 3.936 9.544
6.679 0.000 0.000
0.000 0.000 0.000
1.113 -3.149 8.180
4.453 6.297 0.000
5.566 5.510 4.090
4.453 -3.149 5.453
-1.113 10.233 1.363
```

raw total energy = -392.29 eV per cell

=====

(7)
NdCoH | PBE | optimized geometry

```
NdCoH
1.0
3.356 0.000 0.000
1.678 8.026 0.000
1.678 0.000 6.905
Co H Nd
4 4 4
Cartesian
1.678 0.000 5.481
3.356 0.000 1.423
4.195 4.013 2.029
4.195 4.013 4.876
3.356 0.000 5.191
1.678 0.000 1.713
2.517 4.013 5.165
2.517 4.013 1.739
4.195 1.628 3.452
3.356 2.385 0.000
4.195 6.398 3.452
1.678 5.641 0.000
```

energy above the most stable polymorph in this dataset = 0.000 eV per atom

=====

(8)
NdCo5H11 | PBE | optimized geometry

```
NdCo5H11
1.0
0.187 -1.390 -4.474
4.997 -0.050 2.453
-1.467 -4.118 3.446
Co H Nd
5 11 1
Cartesian
1.998 -1.137 -2.110
1.765 -2.084 2.950
3.983 -2.996 3.187
1.719 -4.421 3.535
-0.265 -2.562 -1.762
1.093 -1.982 -1.006
0.206 -2.020 1.442
2.625 -3.576 2.432
3.743 -2.021 1.863
3.052 -1.600 -0.911
0.666 -3.958 2.336
2.019 -0.879 1.163
1.699 -4.679 0.262
3.511 -3.538 -0.017
-0.026 -3.537 -0.438
0.094 -0.695 -2.237
0.000 0.000 0.000
```

raw total energy = -77.11 eV per cell

=====

(9)
NdCoH | PBE | optimized geometry

```
NdCoH
1.0
-0.075 2.722 -2.446
-1.162 -2.406 -2.642
-2.513 1.829 2.111
Co Nd H
1 1 1
Cartesian
-2.075 0.871 0.119
-1.662 0.822 -2.689
-0.012 0.452 -0.406
```

energy above the most stable polymorph in this dataset = 0.043 eV per atom

=====

(10)
NdCo2H8 | PBE | optimized geometry

```
NdCo2H8
1.0
3.525 -0.025 0.000
0.036 5.065 0.000
0.018 2.532 4.729
H Co Nd
8 2 1
Cartesian
0.009 1.261 1.283
1.781 2.520 2.378
0.027 3.793 3.446
0.027 3.804 1.283
2.191 5.049 4.729
1.389 2.523 0.000
1.799 5.052 2.351
0.045 6.336 3.446
3.561 5.039 2.317
0.018 2.532 2.412
1.762 -0.013 0.000
```

energy above the most stable polymorph in this dataset = 0.108 eV per atom

=====

(11)
Nd2CoH8 | PBE | optimized geometry

```
Nd2CoH8
1.0
3.891 0.390 -0.013
0.459 4.061 -0.125
-2.178 -2.030 6.707
H Co Nd
8 1 2
Cartesian
2.172 2.324 3.318
0.000 0.097 3.252
2.384 1.107 1.197
1.962 3.418 1.123
0.211 -0.997 5.447
-1.580 -1.072 6.676
-0.212 1.314 5.373
3.753 3.493 -0.106
1.946 0.195 -0.006
1.943 0.336 4.730
0.230 2.085 1.840
```

raw total energy = -47.53 eV per cell

=====

(12)
NdCo2H8 | PBE | optimized geometry

```
NdCo2H8
1.0
-3.925 -1.690 0.953
1.470 -4.059 -1.162
0.431 1.393 4.226
H Nd Co
8 1 2
Cartesian
-2.950 -0.774 3.278
-1.030 0.057 2.814
-2.138 -2.923 2.546
-0.456 -2.958 -0.165
-2.107 -0.765 1.837
-0.317 -2.139 2.103
-2.377 -3.782 0.305
-1.832 -2.208 0.411
-0.200 -0.371 0.336
-1.123 -3.365 1.275
-1.481 -1.486 3.131
```

energy above the most stable polymorph in this dataset = 0.000 eV per atom

=====

no.,calculated volume (Å³ per atom)
1,8.9
2,11.2
3,11.7
4,11.5
5,15.0
6,22.9
7,15.5
8,7.2
9,14.9
10,7.7
11,9.4
12,6.9